[1]
Density functional theory data (PBE) for crystalline TlOsBr3 at its relaxed geometry.

```
5
Lattice="5.198 0.000 0.000 0.000 5.198 0.000 0.000 0.000 5.198" Properties=species:S:1:pos:R:3 pbc="T T T"
Os 0.000 0.000 0.000
Tl 2.599 2.599 2.599
Br 0.000 0.000 2.599
Br 0.000 2.599 0.000
Br 2.599 0.000 0.000
```

Energy relative to the elements, uncorrected (eV/atom): 0.139
SG: Pm-3m

[2]
Density functional theory data (PBE) for crystalline La6Pr2Tm at its relaxed geometry.

```
9
Lattice="3.709 0.000 0.001 0.000 9.342 4.272 -0.001 1.722 10.127" Properties=species:S:1:pos:R:3 pbc="T T T"
La 0.000 5.023 3.835
Tm 0.000 0.000 0.000
La 3.708 6.040 10.565
La 1.854 6.917 6.135
Pr 1.853 9.171 11.937
La -0.001 2.412 5.841
La 1.853 4.146 8.264
Pr 1.854 1.892 2.463
La 3.708 8.652 8.558
```

DFT formation energy (eV per atom): 0.115
SG: Cmmm

[3]
Density functional theory data (PBE) for crystalline ScVGe at its relaxed geometry.

```
12
Lattice="-3.282 -1.210 0.766 -1.420 -0.483 -6.841 2.825 -7.691 -0.043" Properties=species:S:1:pos:R:3 pbc="T T T"
V -2.070 -4.632 -3.626
Ge 1.260 -7.058 -1.563
V 0.590 -8.007 -5.930
Ge -3.137 -2.325 -4.555
Ge -0.086 -5.567 -4.974
Sc -0.645 -6.074 0.198
Sc -0.895 -7.568 -3.230
Sc -1.232 -3.310 -6.316
V -2.466 -1.377 -0.188
Ge -1.790 -3.817 -1.144
V 0.193 -4.752 -2.492
Sc -0.982 -1.816 -2.888
```

DFT formation energy (eV per atom): -0.556
SG: Pnma

[4]
Density functional theory data (PBE) for crystalline AcMgRhPb at its relaxed geometry.

```
4
Lattice="5.153 0.000 0.000 2.576 4.463 0.000 2.576 1.488 4.207" Properties=species:S:1:pos:R:3 pbc="T T T"
Mg 5.153 2.975 2.104
Ac 2.576 1.488 1.052
Rh 0.000 0.000 0.000
Pb 7.729 4.463 3.155
```

DFT formation energy (eV per atom): -0.235
SG: F-43m

[5]
Density functional theory data (PBE) for crystalline AlCoIr3 at its relaxed geometry.

```
5
Lattice="-0.379 4.286 -1.031 -1.269 -1.097 -4.094 -4.222 -0.055 1.323" Properties=species:S:1:pos:R:3 pbc="T T T"
Ir -0.189 2.143 -0.516
Co -2.934 1.567 -1.901
Ir -0.634 -0.549 -2.047
Al 0.000 0.000 0.000
Ir -2.111 -0.027 0.661
```

DFT formation energy (eV per atom): 1.286
SG: Pm-3m

[6]
Density functional theory data (PBE) for crystalline BaLaBr5 at its relaxed geometry.

```
14
Lattice="4.500 0.000 0.000 0.000 8.059 -0.076 0.000 0.682 14.441" Properties=species:S:1:pos:R:3 pbc="T T T"
Ba 3.375 4.826 9.384
La 1.125 8.332 12.137
Br 1.125 6.892 0.761
Br 1.125 3.075 10.933
Br 1.125 6.026 7.494
Ba 1.125 3.915 4.981
Br 3.375 2.714 6.871
Br 1.125 2.582 1.749
Br 3.375 5.665 3.432
Br 3.375 1.849 13.604
Br 3.375 6.159 12.616
Br 3.375 8.288 9.984
Br 1.125 0.452 4.381
La 3.375 0.409 2.228
```

Energy relative to the elements, uncorrected (eV/atom): -2.011
SG: P2_1/m

[7]
Density functional theory data (PBE) for crystalline Rb4IBr2 at its relaxed geometry.

```
7
Lattice="-3.264 -0.190 -3.830 -0.579 -4.270 -2.605 -13.486 -6.322 8.496" Properties=species:S:1:pos:R:3 pbc="T T T"
Br -5.649 -4.197 -1.599
I 0.000 0.000 0.000
Br -11.680 -6.586 3.659
Rb -14.411 -8.647 2.778
Rb -8.944 -4.523 4.536
Rb -2.919 -2.135 -0.717
Rb -8.386 -6.260 -2.475
```

Energy relative to the elements, uncorrected (eV/atom): -1.401
SG: R-3m

[8]
Density functional theory data (PBE) for crystalline Tb5CN4 at its relaxed geometry.

```
10
Lattice="4.464 0.000 2.153 2.232 5.581 1.077 -0.193 0.000 6.103" Properties=species:S:1:pos:R:3 pbc="T T T"
Tb 1.749 3.298 2.089
N 3.978 3.346 3.173
Tb 4.763 2.282 7.248
Tb 3.477 1.122 4.211
C 0.005 0.000 0.003
N 2.535 2.235 6.164
Tb 3.035 4.459 5.126
Tb 2.236 0.000 1.079
N 1.266 1.130 3.092
N 5.247 4.451 6.245
```

Energy relative to the elements, uncorrected (eV/atom): -1.293
SG: I4/m

[9]
Density functional theory data (PBE) for crystalline Ca4HoAg5 at its relaxed geometry.

```
10
Lattice="3.704 0.000 0.000 0.000 3.704 0.000 0.000 0.000 18.378" Properties=species:S:1:pos:R:3 pbc="T T T"
Ag 1.852 1.852 16.726
Ca 0.000 0.000 7.348
Ca 0.000 0.000 14.748
Ag 1.852 1.852 1.652
Ca 0.000 0.000 3.631
Ag 1.852 1.852 12.874
Ho 0.000 0.000 0.000
Ca 0.000 0.000 11.031
Ag 1.852 1.852 9.189
Ag 1.852 1.852 5.504
```

DFT formation energy (eV per atom): -0.315
SG: P4/mmm

[10]
Density functional theory data (PBE) for crystalline Tl3AsPb at its relaxed geometry.

```
10
Lattice="7.606 0.530 -0.014 -1.571 7.461 0.014 -3.317 -3.769 5.696" Properties=species:S:1:pos:R:3 pbc="T T T"
As 0.883 -0.667 4.164
Tl 4.216 3.090 1.457
As 1.835 4.888 1.532
Tl 5.204 -0.292 1.491
Tl -1.498 1.132 4.239
Tl 0.133 2.535 1.505
Tl -2.486 4.514 4.205
Tl 2.585 1.686 4.191
Pb -0.459 6.621 1.304
Pb 3.176 -2.399 4.391
```

DFT formation energy (eV per atom): 0.051
SG: C2/m

[11]
Density functional theory data (PBE) for crystalline V2Fe5Pd12 at its relaxed geometry.

```
19
Lattice="-6.402 2.002 -3.800 0.280 -5.371 4.518 -2.066 3.245 5.191" Properties=species:S:1:pos:R:3 pbc="T T T"
Fe -5.921 2.496 3.468
Fe -5.912 0.270 2.282
Pd -0.933 -0.553 1.280
Pd -7.255 0.430 4.628
Fe -1.033 1.623 2.595
Pd -4.025 1.365 -0.321
Pd -3.575 1.498 2.430
Pd -4.613 -1.622 3.479
Pd -1.799 -2.502 5.150
Pd -4.347 0.783 4.841
V -1.644 0.514 -0.976
Pd -6.211 -0.165 -0.339
Pd -4.164 -1.488 6.230
Fe -2.276 -0.394 3.627
Pd -6.390 2.379 0.759
Pd -1.977 0.041 6.248
Pd -3.841 -0.906 1.068
V -4.758 1.488 -2.824
Fe -2.268 -2.619 2.440
```

DFT formation energy (eV per atom): 0.063
SG: C2/m

[12]
Density functional theory data (PBE) for crystalline MgZn2Cd at its relaxed geometry.

```
4
Lattice="5.574 0.052 0.112 2.381 5.040 -0.112 -3.360 -3.510 2.733" Properties=species:S:1:pos:R:3 pbc="T T T"
Cd 1.499 2.038 1.311
Zn 7.954 5.091 0.000
Mg 3.095 -0.456 1.422
Zn 3.978 2.546 0.000
```

DFT formation energy (eV per atom): 0.044
SG: Immm

[13]
Density functional theory data (PBE) for crystalline Zr3CdH at its relaxed geometry.

```
20
Lattice="2.455 -7.555 -2.787 0.748 -6.432 5.380 -5.492 -6.375 -0.270" Properties=species:S:1:pos:R:3 pbc="T T T"
Zr -3.837 -7.824 0.275
Zr -3.373 -11.807 3.606
Cd -1.805 -9.510 -1.238
Cd 1.315 -9.539 1.587
Cd -1.430 -12.726 1.452
Zr 1.084 -8.555 -1.284
Zr -2.317 -12.503 -1.451
H 0.941 -6.323 -1.103
Zr 0.028 -7.859 3.774
H -3.032 -5.733 0.155
Zr 0.798 -4.091 -0.923
Zr -2.227 -3.641 0.036
H -0.286 -2.545 0.290
Zr -1.943 -6.090 2.084
Zr 1.548 -12.538 2.048
Zr 1.083 -6.540 1.126
H 0.088 -5.761 2.980
Zr 0.148 -3.663 2.187
Zr -1.293 -6.518 -1.026
Cd -2.658 -8.949 2.845
```

VASP energy (eV/atom): -5.78
SG: Fd-3m

[14]
Density functional theory data (PBE) for crystalline KSr2 at its relaxed geometry.

```
3
Lattice="-2.939 1.984 6.183 -3.135 -5.003 -3.993 2.169 -2.934 1.973" Properties=species:S:1:pos:R:3 pbc="T T T"
K 0.000 0.000 0.000
Sr -1.920 -1.812 3.777
Sr -1.985 -4.141 0.385
```

DFT formation energy (eV per atom): 0.166
SG: P6/mmm

[15]
Density functional theory data (PBE) for crystalline TlSnAu at its relaxed geometry.

```
12
Lattice="9.072 0.000 0.000 0.000 3.806 0.000 0.000 0.000 8.995" Properties=species:S:1:pos:R:3 pbc="T T T"
Tl 5.881 2.854 0.195
Au 7.691 0.951 7.633
Sn 3.794 0.951 3.010
Sn 0.742 2.854 7.508
Au 3.155 0.951 5.859
Sn 5.277 2.854 5.984
Tl 7.726 0.951 4.692
Tl 3.190 0.951 8.800
Au 5.917 2.854 3.136
Sn 8.330 0.951 1.487
Tl 1.346 2.854 4.303
Au 1.381 2.854 1.361
```

DFT formation energy (eV per atom): -0.031
SG: Pnma

[16]
Density functional theory data (PBE) for crystalline K2NaGa2 at its relaxed geometry.

```
10
Lattice="-4.514 4.034 -5.076 0.812 -5.784 -5.319 -4.705 -2.605 2.114" Properties=species:S:1:pos:R:3 pbc="T T T"
Ga -3.516 0.051 -7.762
Na 0.000 0.000 0.000
Ga -1.034 -3.573 -6.702
K -5.795 0.153 -4.811
K -3.653 -1.049 -1.525
Ga -0.185 -1.802 -2.632
Ga -2.668 1.822 -3.693
K -4.754 -3.306 -6.756
Na -1.851 -0.875 -5.197
K -2.611 -4.509 -3.470
```

DFT formation energy (eV per atom): 0.059
SG: P4/mbm

[17]
Density functional theory data (PBE) for crystalline SiGeB2Rh at its relaxed geometry.

```
5
Lattice="-3.160 -1.372 -1.804 2.737 -3.263 -2.313 -0.560 -2.527 2.903" Properties=species:S:1:pos:R:3 pbc="T T T"
B -1.580 -0.686 -0.902
B -0.280 -1.263 1.451
Ge -0.492 -3.581 -0.607
Rh 1.368 -1.632 -1.156
Si 0.000 0.000 0.000
```

Energy relative to the elements, uncorrected (eV/atom): 1.033
SG: P4/mmm

[18]
Density functional theory data (PBE) for crystalline Zn2PbF at its relaxed geometry.

```
8
Lattice="5.146 0.000 0.000 0.000 5.146 0.000 2.573 2.573 6.642" Properties=species:S:1:pos:R:3 pbc="T T T"
Zn 3.859 4.440 4.981
Pb 5.146 2.573 3.321
Zn 1.867 3.859 1.660
Zn 6.432 5.852 4.981
F 2.573 2.573 0.000
F 2.573 5.146 3.321
Zn 3.279 1.286 1.660
Pb 0.000 0.000 0.000
```

Energy relative to the elements, uncorrected (eV/atom): -0.487
SG: I-42d